Below is a relaxed Tb2SmHo3S6 crystal, with properties calculated at the PBE level.

The structure in extended XYZ format:
```
12
Lattice="3.383 -5.883 0.000 3.383 5.883 0.000 -2.261 0.000 6.411" Properties=species:S:1:pos:R:3 pbc="T T T"
Tb 3.383 3.926 0.000
Tb 3.383 -3.926 0.000
Sm 3.383 0.000 0.000
Ho -1.130 0.000 3.205
Ho 2.253 1.937 3.205
Ho 2.253 -1.937 3.205
S -0.020 1.988 4.762
S 1.097 0.000 1.639
S -0.020 -1.988 4.762
S 4.525 1.988 1.648
S 3.408 0.000 4.772
S 4.525 -1.988 1.648
```

Calculated values
Its formation energy without anion corrections is -1.9983 eV per atom.

=====

Below is a relaxed GdYTm crystal, with properties calculated at the PBE level.

The structure in extended XYZ format:
```
3
Lattice="3.553 0.000 0.000 -1.777 3.077 0.000 0.000 0.000 8.677" Properties=species:S:1:pos:R:3 pbc="T T T"
Gd 0.000 0.000 0.000
Y 0.000 2.051 5.728
Tm 1.777 1.026 2.881
```

Calculated values
The calculation puts the formation energy at 0.0267 eV/atom.

=====

Below is a relaxed Pm2Sm2Sb3 crystal, with properties calculated at the PBE level.

The structure in extended XYZ format:
```
14
Lattice="-4.710 4.710 4.710 4.710 -4.710 4.710 4.710 4.710 -4.710" Properties=species:S:1:pos:R:3 pbc="T T T"
Pm 3.027 1.682 -1.682
Pm 1.682 -1.682 3.027
Pm 1.682 1.682 1.682
Pm -1.682 3.027 1.682
Sm 5.374 -0.664 0.664
Sm 0.664 5.374 -0.664
Sm -0.664 0.664 5.374
Sm 4.045 4.045 4.045
Sb 4.710 -2.355 3.521
Sb 3.521 4.710 -2.355
Sb 4.710 2.355 1.188
Sb 2.355 1.188 4.710
Sb 1.188 4.710 2.355
Sb -2.355 3.521 4.710
```

Calculated values
Its formation energy without anion corrections is -1.0540 eV per atom.

=====

Below is a relaxed ErTmCdAu crystal, with properties calculated at the PBE level.

The structure in extended XYZ format:
```
16
Lattice="7.254 0.000 0.000 0.000 7.254 0.000 0.000 0.000 7.254" Properties=species:S:1:pos:R:3 pbc="T T T"
Er 0.000 0.000 0.000
Er 0.000 3.627 3.627
Er 3.627 0.000 3.627
Er 3.627 3.627 0.000
Tm 0.000 0.000 3.627
Tm 0.000 3.627 0.000
Tm 3.627 0.000 0.000
Tm 3.627 3.627 3.627
Cd 1.813 1.813 5.440
Cd 1.813 5.440 1.813
Cd 5.440 1.813 1.813
Cd 5.440 5.440 5.440
Au 1.813 1.813 1.813
Au 1.813 5.440 5.440
Au 5.440 1.813 5.440
Au 5.440 5.440 1.813
```

Calculated values
The calculation puts the formation energy at -0.5730 eV/atom.

=====

Below is a relaxed Na2ScIr2 crystal, with properties calculated at the PBE level.

The structure in extended XYZ format:
```
10
Lattice="6.560 0.000 0.000 0.000 6.560 0.000 0.000 0.000 5.029" Properties=species:S:1:pos:R:3 pbc="T T T"
Na 1.075 2.205 0.000
Na 2.205 5.485 0.000
Na 4.355 1.075 0.000
Na 5.485 4.355 0.000
Sc 0.000 0.000 2.514
Sc 3.280 3.280 2.514
Ir 0.876 4.156 2.514
Ir 2.404 0.876 2.514
Ir 4.156 5.684 2.514
Ir 5.684 2.404 2.514
```

Calculated values
The calculation puts the formation energy at 0.1606 eV/atom.

=====

Below is a relaxed EuZrCu crystal, with properties calculated at the PBE level.

The structure in extended XYZ format:
```
6
Lattice="3.402 0.000 0.000 0.000 3.402 0.000 0.000 0.000 12.338" Properties=species:S:1:pos:R:3 pbc="T T T"
Eu 0.000 0.000 0.000
Eu 1.701 1.701 6.169
Zr 0.000 0.000 3.504
Zr 1.701 1.701 9.673
Cu 0.000 0.000 8.353
Cu 1.701 1.701 2.184
```

Calculated values
The calculation puts the formation energy at 0.0857 eV/atom.

=====

Below is a relaxed Pu6ZnGa2 crystal, with properties calculated at the PBE level.

The structure in extended XYZ format:
```
9
Lattice="7.319 0.000 0.000 -3.660 6.339 0.000 0.000 0.000 3.767" Properties=species:S:1:pos:R:3 pbc="T T T"
Pu -1.219 2.112 0.000
Pu -2.440 4.227 0.000
Pu 2.439 0.000 0.000
Pu 1.219 2.112 0.000
Pu 4.881 0.000 0.000
Pu 2.440 4.227 0.000
Zn 0.000 0.000 1.883
Ga 0.000 4.226 1.883
Ga 3.660 2.113 1.883
```

Calculated values
The calculation puts the formation energy at 0.2918 eV/atom.

=====

Below is a relaxed BaNaY3 crystal, with properties calculated at the PBE level.

The structure in extended XYZ format:
```
5
Lattice="5.900 0.000 0.000 0.000 5.900 0.000 0.000 0.000 5.900" Properties=species:S:1:pos:R:3 pbc="T T T"
Ba 0.000 0.000 0.000
Na 2.950 2.950 2.950
Y 0.000 0.000 2.950
Y 0.000 2.950 0.000
Y 2.950 0.000 0.000
```

Calculated values
The calculation puts the formation energy at 0.9626 eV/atom.

=====

Below is a relaxed Er5Tl4Au crystal, with properties calculated at the PBE level.

The structure in extended XYZ format:
```
10
Lattice="3.591 0.000 0.000 0.000 3.591 0.000 0.000 0.000 20.162" Properties=species:S:1:pos:R:3 pbc="T T T"
Er 0.000 0.000 0.000
Er 0.000 0.000 4.166
Er 0.000 0.000 8.342
Er 0.000 0.000 11.820
Er 0.000 0.000 15.996
Tl 1.796 1.796 2.081
Tl 1.796 1.796 6.231
Tl 1.796 1.796 13.931
Tl 1.796 1.796 18.081
Au 1.796 1.796 10.081
```

Calculated values
The calculation puts the formation energy at -0.4448 eV/atom.

=====

Below is a relaxed Pr5Er2 crystal, with properties calculated at the PBE level.

The structure in extended XYZ format:
```
14
Lattice="8.109 -3.197 0.000 8.109 3.197 0.000 -0.794 0.000 9.428" Properties=species:S:1:pos:R:3 pbc="T T T"
Pr 5.822 2.109 0.349
Pr 4.071 1.049 6.394
Pr 7.514 2.112 7.071
Pr 9.999 2.109 4.365
Pr 4.468 -1.049 1.679
Pr 10.956 1.049 7.749
Pr 5.425 -2.109 5.063
Pr 7.910 -2.112 2.357
Pr 11.353 -1.049 3.035
Pr 9.602 -2.109 9.079
Er 6.661 1.050 3.704
Er 9.160 1.050 1.010
Er 6.264 -1.050 8.418
Er 8.763 -1.050 5.724
```

Calculated values
The calculation puts the formation energy at 0.0299 eV/atom.

=====

Below is a relaxed ErZn12Au6 crystal, with properties calculated at the PBE level.

The structure in extended XYZ format:
```
19
Lattice="5.800 3.349 2.910 -5.800 3.349 2.910 0.000 -6.698 2.910" Properties=species:S:1:pos:R:3 pbc="T T T"
Er 0.000 0.000 0.000
Zn -2.271 -3.934 4.365
Zn -4.543 0.000 4.365
Zn -1.406 -0.812 2.582
Zn 1.406 -0.812 2.582
Zn 0.000 1.623 2.582
Zn 2.271 -3.934 4.365
Zn -2.271 3.934 4.365
Zn 0.000 -1.623 6.149
Zn -1.406 0.812 6.149
Zn 1.406 0.812 6.149
Zn 4.543 0.000 4.365
Zn 2.271 3.934 4.365
Au -2.463 -1.422 4.967
Au 0.000 -2.843 3.763
Au -2.463 1.422 3.763
Au 2.463 -1.422 4.967
Au 0.000 2.843 4.967
Au 2.463 1.422 3.763
```

Calculated values
The calculation puts the formation energy at -0.1859 eV/atom.

=====

Below is a relaxed KNa2Hg crystal, with properties calculated at the PBE level.

The structure in extended XYZ format:
```
4
Lattice="4.022 0.000 0.000 0.000 4.022 0.000 0.000 0.000 9.326" Properties=species:S:1:pos:R:3 pbc="T T T"
K 0.000 0.000 0.000
Na 2.011 2.011 3.017
Na 2.011 2.011 6.308
Hg 0.000 0.000 4.663
```

Calculated values
The calculation puts the formation energy at -0.1038 eV/atom.